(1)
# YPuPb2O6

An optimized crystal structure of YPuPb2O6 (PBE-GGA, Alexandria via LeMat-Bulk).

The calculation puts the total energy at -0.5943 Ry/atom. The total moment is 3.000 μB/f.u. As for the formation energy without anion corrections: -2.2892 eV/atom. The calculated volume comes out at 157.6 Å³/f.u.

It has space group P2_1/c (No. 14), with a = 5.989 Å, b = 6.121 Å, c = 10.472 Å, α = 90.00°, β = 124.80° and γ = 90.00°. The distinct sites, in fractional coordinates, are Y at (0.000, 0.000, 0.000), Pu at (0.500, 0.000, 0.500), Pb at (0.243, 0.032, 0.748), O at (0.161, 0.192, 0.455), O at (0.262, 0.710, 0.451) and O at (0.352, 0.027, 0.257).



(2)
# ReSb2Pb

An optimized crystal structure of ReSb2Pb (PBE-GGA, Alexandria via LeMat-Bulk).

The calculation puts the total energy at -0.3985 Ry/atom. The total moment is 0.000 μB/f.u. As for the formation energy without anion corrections: 0.6779 eV/atom. The calculated volume comes out at 99.3 Å³/f.u.

It has space group Cmm2 (No. 35), with a = 3.376 Å, b = 5.331 Å, c = 11.040 Å, α = 90.00°, β = 90.00° and γ = 90.00°. The distinct sites, in fractional coordinates, are Re at (0.000, 0.000, 0.000), Sb at (0.000, 0.000, 0.508), Sb at (0.000, 0.500, 0.812) and Pb at (0.000, 0.500, 0.220).



(3)
# CdCu2Hg2

An optimized crystal structure of CdCu2Hg2 (PBE-GGA, Alexandria via LeMat-Bulk).

The calculation puts the total energy at -0.1282 Ry/atom. The total moment is 0.000 μB/f.u. The calculated volume comes out at 93.1 Å³/f.u. Its relative energy among the computed polymorphs is 5.97 kJ/mol of atoms.

It has space group P4/mbm (No. 127), with a = 7.679 Å, b = 7.679 Å, c = 3.158 Å, α = 90.00°, β = 90.00° and γ = 90.00°. The distinct sites, in fractional coordinates, are Cd at (0.000, 0.000, 0.000), Cu at (0.156, 0.344, 0.500) and Hg at (0.143, 0.643, 0.000).



(4)
# SeI

An optimized crystal structure of SeI (PBE-GGA, Alexandria via LeMat-Bulk).

The calculation puts the total energy at -0.1646 Ry/atom. The total moment is 0.000 μB/f.u. As for the formation energy without anion corrections: 0.2776 eV/atom. The calculated volume comes out at 86.5 Å³/f.u.

It has space group P4/m (No. 83), with a = 10.423 Å, b = 10.423 Å, c = 6.367 Å, α = 90.00°, β = 90.00° and γ = 90.00°. The distinct sites, in fractional coordinates, are Se at (0.153, 0.347, 0.000), Se at (0.159, 0.655, 0.500), I at (0.120, 0.249, 0.500) and I at (0.254, 0.624, 0.000).



(5)
# Sm5Cd4Ir

An optimized crystal structure of Sm5Cd4Ir (PBE-GGA, Alexandria via LeMat-Bulk).

The calculation puts the total energy at -0.2946 Ry/atom. The total moment is 0.313 μB/f.u. The calculated volume comes out at 263.9 Å³/f.u.

It has space group P4/mmm (No. 123), with a = 3.684 Å, b = 3.684 Å, c = 19.445 Å, α = 90.00°, β = 90.00° and γ = 90.00°. The distinct sites, in fractional coordinates, are Sm at (0.000, 0.000, 0.000), Sm at (0.000, 0.000, 0.207), Sm at (0.000, 0.000, 0.417), Cd at (0.500, 0.500, 0.103), Cd at (0.500, 0.500, 0.307) and Ir at (0.500, 0.500, 0.500).



(6)
# K2RbScBr6

An optimized crystal structure of K2RbScBr6 (PBE-GGA, Alexandria via LeMat-Bulk).

The calculation puts the total energy at -0.2663 Ry/atom. The total moment is 0.000 μB/f.u. As for the formation energy without anion corrections: -1.6702 eV/atom. The calculated volume comes out at 405.7 Å³/f.u. Its relative energy among the computed polymorphs is 6.64 kJ/mol of atoms.

It has space group Fm-3m (No. 225), with a = 11.752 Å, b = 11.752 Å, c = 11.752 Å, α = 90.00°, β = 90.00° and γ = 90.00°. The distinct sites, in fractional coordinates, are K at (0.250, 0.250, 0.250), Rb at (0.000, 0.000, 0.000), Sc at (0.000, 0.000, 0.500) and Br at (0.000, 0.000, 0.274).



Q: Look up the total moment of the sixth one.
A: 0.000 μB/f.u.